#1
A plane-wave DFT calculation with PBE was carried out for an optimized crystal structure of HoZn3Ni.

Computed properties:
Total magnetization: 0.0 μB/cell
Volume: 17.1 Å³ per atom

Cell lengths 6.305, 6.305, 5.400 Å; angles 90.00, 90.00, 52.92 degrees
Positions (direct):
Ho 0.028 0.231 0.052
Ho 0.533 0.735 0.552
Zn 0.136 0.338 0.552
Zn 0.424 0.628 0.052
Zn 0.543 0.221 0.802
Zn 0.543 0.221 0.302
Zn 0.018 0.745 0.302
Zn 0.018 0.745 0.802
Ni 0.925 0.127 0.552
Ni 0.635 0.838 0.052


#2
A plane-wave DFT calculation with PBE was carried out for an optimized crystal structure of HoZn3Ni.

Computed properties:
Total magnetization: 0.0 μB/cell
Volume: 18.6 Å³ per atom

Cell lengths 4.533, 4.533, 4.533 Å; angles 90.00, 90.00, 90.00 degrees
Positions (direct):
Ni 0.000 0.000 0.000
Zn 0.000 0.500 0.000
Zn 0.000 0.000 0.500
Zn 0.500 0.000 0.000
Ho 0.500 0.500 0.500


Which one sits at the bottom of the stability order? #2 does.


#1
A plane-wave DFT calculation with PBE was carried out for an optimized crystal structure of Ho2Zn5Ni5.

Computed properties:
Total magnetization: 0.0 μB/cell
Volume: 15.1 Å³ per atom

Cell lengths 4.071, 5.091, 8.734 Å; angles 90.00, 90.00, 90.00 degrees
Positions (direct):
Ho 0.000 0.500 0.000
Ho 0.000 0.000 0.500
Zn 0.500 0.500 0.500
Zn 0.500 0.752 0.244
Zn 0.500 0.248 0.756
Zn 0.500 0.248 0.244
Zn 0.500 0.752 0.756
Ni 0.000 0.500 0.333
Ni 0.000 0.000 0.839
Ni 0.000 0.000 0.161
Ni 0.000 0.500 0.667
Ni 0.500 0.000 0.000


#2
A plane-wave DFT calculation with PBE was carried out for an optimized crystal structure of Ho2Zn5Ni5.

Computed properties:
Total magnetization: 0.0 μB/cell
Volume: 15.1 Å³ per atom

Cell lengths 3.983, 5.132, 8.869 Å; angles 90.00, 90.00, 90.00 degrees
Positions (direct):
Ho 0.000 0.500 0.000
Ho 0.000 0.000 0.500
Zn 0.000 0.500 0.333
Zn 0.000 0.000 0.825
Zn 0.000 0.000 0.175
Zn 0.000 0.500 0.667
Zn 0.500 0.000 0.000
Ni 0.500 0.500 0.500
Ni 0.500 0.749 0.253
Ni 0.500 0.251 0.747
Ni 0.500 0.251 0.253
Ni 0.500 0.749 0.747


Which one sits at the bottom of the stability order? #2 does.


#1
A plane-wave DFT calculation with PBE was carried out for an optimized crystal structure of HoZn10Ni2.

Computed properties:
Total magnetization: 0.0 μB/cell
Volume: 15.1 Å³ per atom

Cell lengths 5.005, 6.698, 6.772 Å; angles 82.06, 68.31, 68.06 degrees
Positions (direct):
Ho 0.000 0.000 0.000
Zn 0.347 0.638 0.669
Zn 0.653 0.362 0.331
Zn 0.985 0.362 0.669
Zn 0.015 0.638 0.331
Zn 0.000 0.000 0.500
Zn 0.500 0.000 0.500
Zn 0.284 0.224 0.209
Zn 0.716 0.776 0.791
Zn 0.508 0.776 0.209
Zn 0.492 0.224 0.791
Ni 0.000 0.500 0.000
Ni 0.500 0.500 0.000


#2
A plane-wave DFT calculation with PBE was carried out for an optimized crystal structure of HoZn10Ni2.

Computed properties:
Total magnetization: 0.0 μB/cell
Volume: 15.0 Å³ per atom

Cell lengths 6.745, 6.745, 8.651 Å; angles 90.00, 90.00, 98.76 degrees
Positions (direct):
Ho 0.873 0.127 0.750
Ho 0.127 0.873 0.250
Zn 0.402 0.140 0.750
Zn 0.598 0.860 0.250
Zn 0.860 0.598 0.750
Zn 0.140 0.402 0.250
Zn 0.525 0.781 0.750
Zn 0.475 0.219 0.250
Zn 0.219 0.475 0.750
Zn 0.781 0.525 0.250
Zn 0.849 0.151 0.401
Zn 0.151 0.849 0.901
Zn 0.849 0.151 0.099
Zn 0.151 0.849 0.599
Zn 0.625 0.375 0.957
Zn 0.375 0.625 0.457
Zn 0.625 0.375 0.543
Zn 0.375 0.625 0.043
Zn 0.773 0.773 0.000
Zn 0.227 0.227 0.500
Zn 0.227 0.227 0.000
Zn 0.773 0.773 0.500
Ni 0.500 0.000 0.000
Ni 0.500 0.000 0.500
Ni 0.000 0.500 0.500
Ni 0.000 0.500 0.000


Which one sits at the bottom of the stability order? #1 does.


#1
A plane-wave DFT calculation with PBE was carried out for an optimized crystal structure of Ho2ZnNi.

Computed properties:
Total magnetization: 0.0 μB/cell
Volume: 20.6 Å³ per atom

Cell lengths 4.883, 4.883, 4.883 Å; angles 60.00, 60.00, 60.00 degrees
Positions (direct):
Ni 0.000 0.000 0.000
Zn 0.500 0.500 0.500
Ho 0.250 0.250 0.250
Ho 0.750 0.750 0.750


#2
A plane-wave DFT calculation with PBE was carried out for an optimized crystal structure of Ho2ZnNi.

Computed properties:
Total magnetization: 0.0 μB/cell
Volume: 29.5 Å³ per atom

Cell lengths 3.879, 3.879, 9.320 Å; angles 77.99, 77.99, 60.00 degrees
Positions (direct):
Ni 0.500 0.500 0.500
Zn 0.000 0.000 0.000
Ho 0.114 0.114 0.659
Ho 0.886 0.886 0.341


#3
A plane-wave DFT calculation with PBE was carried out for an optimized crystal structure of Ho2ZnNi.

Computed properties:
Total magnetization: 0.0 μB/cell
Volume: 20.6 Å³ per atom

Cell lengths 3.447, 3.447, 6.937 Å; angles 90.00, 90.00, 90.00 degrees
Positions (direct):
Ni 0.500 0.500 0.000
Zn 0.500 0.500 0.500
Ho 0.000 0.000 0.766
Ho 0.000 0.000 0.234


Which one sits at the bottom of the stability order? #2 does.